{
  "formula": "VRuWF2",
  "functional": "PBE with a Hubbard U",
  "state": "relaxed",
  "lattice": [[3.8439, 0.0000, 0.0000], [0.0000, 5.4983, 0.0000], [0.0000, 0.0000, 3.8439]],
  "species": ["Ru", "F", "F", "V", "W"],
  "frac_coords": [[0.0000, 0.5000, 0.0000], [0.0000, 0.0000, 0.5000], [0.5000, 0.0000, 0.0000], [0.0000, 0.0000, 0.0000], [0.5000, 0.5000, 0.5000]],
  "vol_a3_per_cell": 81,
  "total_magnetization_mub_per_fu": 2.66,
  "total_energy_ev_per_atom": -5.85
}